No. 1
Computed, not measured: a relaxed structure of PrSm2Zn at the PBE-GGA level of DFT.

a = 3.686 Å, b = 3.686 Å, c = 10.750 Å
α = 80.13°, β = 80.13°, γ = 60.00°
Fractional positions:
Pr  0.500  0.500  0.499
Sm  0.070  0.070  0.790
Sm  0.263  0.263  0.211
Zn  0.666  0.666  0.001

Results
Space-group type: No. 160
Energy of formation: -0.041 eV/atom
Offset from the most stable computed form: 0.116 eV per atom
V: 31.00 Å³/atom
Fermi-level density of states: 1.0768 states/eV per atom

---

No. 2
Computed, not measured: a relaxed structure of Pr4SmZn at the PBE-GGA level of DFT.

a = 3.705 Å, b = 3.705 Å, c = 14.142 Å
α = 90.00°, β = 90.00°, γ = 90.00°
Fractional positions:
Pr  0.500  0.500  0.182
Pr  0.000  0.000  0.631
Pr  0.000  0.000  0.369
Pr  0.500  0.500  0.818
Sm  0.000  0.000  0.000
Zn  0.500  0.500  0.500

Results
Space-group type: No. 123
Energy of formation: -0.093 eV/atom
Offset from the most stable computed form: 0.000 eV per atom
V: 32.36 Å³/atom
Fermi-level density of states: 1.2370 states/eV per atom

---

No. 3
Computed, not measured: a relaxed structure of Pr3Sm2Zn2 at the PBE-GGA level of DFT.

a = 3.808 Å, b = 6.783 Å, c = 9.494 Å
α = 114.73°, β = 90.00°, γ = 106.30°
Fractional positions:
Pr  0.500  0.000  0.000
Pr  0.609  0.219  0.438
Pr  0.391  0.781  0.562
Sm  0.846  0.691  0.183
Sm  0.154  0.309  0.817
Zn  0.822  0.644  0.773
Zn  0.178  0.356  0.227

Results
Space-group type: No. 12
Energy of formation: -0.121 eV/atom
Offset from the most stable computed form: 0.000 eV per atom
V: 30.26 Å³/atom
Fermi-level density of states: 1.2521 states/eV per atom

---

No. 4
Computed, not measured: a relaxed structure of PrSm4Zn4 at the PBE-GGA level of DFT.

a = 5.208 Å, b = 9.667 Å, c = 9.667 Å
α = 90.00°, β = 90.00°, γ = 90.00°
Fractional positions:
Pr  0.000  0.000  0.000
Pr  0.500  0.500  0.500
Sm  0.500  0.391  0.846
Sm  0.000  0.654  0.891
Sm  0.500  0.609  0.154
Sm  0.000  0.109  0.654
Sm  0.500  0.846  0.609
Sm  0.000  0.891  0.346
Sm  0.000  0.346  0.109
Sm  0.500  0.154  0.391
Zn  0.500  0.924  0.179
Zn  0.500  0.076  0.821
Zn  0.000  0.679  0.576
Zn  0.000  0.424  0.679
Zn  0.000  0.576  0.321
Zn  0.500  0.179  0.076
Zn  0.500  0.821  0.924
Zn  0.000  0.321  0.424

Results
Space-group type: No. 87
Energy of formation: -0.137 eV/atom
V: 27.04 Å³/atom
Fermi-level density of states: 1.0254 states/eV per atom

---

No. 5
Computed, not measured: a relaxed structure of Pr2SmZn at the PBE-GGA level of DFT.

a = 3.685 Å, b = 3.685 Å, c = 10.919 Å
α = 80.28°, β = 80.28°, γ = 60.00°
Fractional positions:
Pr  0.261  0.261  0.218
Pr  0.739  0.739  0.782
Zn  0.000  0.000  0.000
Sm  0.500  0.500  0.500

Results
Space-group type: No. 166
Energy of formation: -0.030 eV/atom
Offset from the most stable computed form: 0.110 eV per atom
V: 31.49 Å³/atom
Fermi-level density of states: 1.0014 states/eV per atom

---

No. 6
Computed, not measured: a relaxed structure of Pr2Sm2Zn at the PBE-GGA level of DFT.

a = 8.472 Å, b = 6.408 Å, c = 9.059 Å
α = 68.52°, β = 56.36°, γ = 48.62°
Fractional positions:
Pr  0.750  0.000  0.411
Pr  0.600  0.000  0.124
Pr  0.400  0.000  0.876
Pr  0.250  0.000  0.589
Sm  0.651  0.381  0.734
Sm  0.349  0.619  0.266
Sm  0.032  0.619  0.734
Sm  0.968  0.381  0.266
Zn  0.143  0.714  0.000
Zn  0.857  0.286  0.000

Results
Space-group type: No. 12
Energy of formation: -0.032 eV/atom
Offset from the most stable computed form: 0.090 eV per atom
V: 30.72 Å³/atom
Fermi-level density of states: 1.0206 states/eV per atom

---

No. 7
Computed, not measured: a relaxed structure of Pr2SmZn at the PBE-GGA level of DFT.

a = 5.516 Å, b = 5.516 Å, c = 5.516 Å
α = 60.00°, β = 60.00°, γ = 60.00°
Fractional positions:
Pr  0.250  0.250  0.250
Pr  0.750  0.750  0.750
Zn  0.500  0.500  0.500
Sm  0.000  0.000  0.000

Results
Space-group type: No. 225
Energy of formation: 0.051 eV/atom
Offset from the most stable computed form: 0.192 eV per atom
V: 29.68 Å³/atom
Fermi-level density of states: 1.3868 states/eV per atom

---

No. 8
Computed, not measured: a relaxed structure of Pr2Sm8Zn at the PBE-GGA level of DFT.

a = 5.669 Å, b = 6.553 Å, c = 10.101 Å
α = 93.32°, β = 106.30°, γ = 90.00°
Fractional positions:
Pr  0.762  0.668  0.524
Pr  0.238  0.332  0.476
Sm  0.422  0.391  0.844
Sm  0.654  0.120  0.308
Sm  0.845  0.188  0.691
Sm  0.961  0.748  0.921
Sm  0.155  0.812  0.309
Sm  0.346  0.880  0.692
Sm  0.578  0.609  0.156
Sm  0.039  0.252  0.079
Zn  0.500  0.000  0.000

Results
Space-group type: No. 12
Energy of formation: -0.007 eV/atom
V: 32.68 Å³/atom
Fermi-level density of states: 1.3582 states/eV per atom

---

No. 9
Computed, not measured: a relaxed structure of Pr5Sm4Zn at the PBE-GGA level of DFT.

a = 3.696 Å, b = 3.696 Å, c = 24.340 Å
α = 90.00°, β = 90.00°, γ = 90.00°
Fractional positions:
Pr  0.500  0.500  0.076
Pr  0.500  0.500  0.288
Pr  0.500  0.500  0.500
Pr  0.500  0.500  0.712
Pr  0.500  0.500  0.924
Sm  0.000  0.000  0.183
Sm  0.000  0.000  0.394
Sm  0.000  0.000  0.606
Sm  0.000  0.000  0.817
Zn  0.000  0.000  0.000

Results
Space-group type: No. 123
Energy of formation: -0.050 eV/atom
V: 33.25 Å³/atom
Fermi-level density of states: 1.2104 states/eV per atom

---

No. 10
Computed, not measured: a relaxed structure of PrSm2Zn at the PBE-GGA level of DFT.

a = 3.662 Å, b = 3.662 Å, c = 8.836 Å
α = 90.00°, β = 90.00°, γ = 90.00°
Fractional positions:
Pr  0.500  0.500  0.500
Zn  0.500  0.500  0.000
Sm  0.000  0.000  0.796
Sm  0.000  0.000  0.204

Results
Space-group type: No. 123
Energy of formation: -0.156 eV/atom
Offset from the most stable computed form: 0.000 eV per atom
V: 29.62 Å³/atom
Fermi-level density of states: 1.0690 states/eV per atom

---

No. 11
Computed, not measured: a relaxed structure of Pr12Sm3Zn at the PBE-GGA level of DFT.

a = 5.135 Å, b = 5.135 Å, c = 20.769 Å
α = 90.00°, β = 90.00°, γ = 90.00°
Fractional positions:
Pr  0.500  0.500  0.000
Pr  0.500  0.500  0.243
Pr  0.500  0.500  0.500
Pr  0.500  0.500  0.757
Pr  0.500  0.000  0.117
Pr  0.500  0.000  0.372
Pr  0.500  0.000  0.628
Pr  0.500  0.000  0.883
Pr  0.000  0.500  0.117
Pr  0.000  0.500  0.372
Pr  0.000  0.500  0.628
Pr  0.000  0.500  0.883
Sm  0.000  0.000  0.245
Sm  0.000  0.000  0.500
Sm  0.000  0.000  0.755
Zn  0.000  0.000  0.000

Results
Space-group type: No. 123
Energy of formation: 0.012 eV/atom
V: 34.22 Å³/atom
Fermi-level density of states: 1.4338 states/eV per atom

---

No. 12
Computed, not measured: a relaxed structure of PrSmZn4 at the PBE-GGA level of DFT.

a = 5.574 Å, b = 5.574 Å, c = 5.574 Å
α = 60.00°, β = 60.00°, γ = 60.00°
Fractional positions:
Pr  0.250  0.250  0.250
Zn  0.625  0.625  0.124
Zn  0.625  0.124  0.625
Zn  0.625  0.625  0.625
Zn  0.124  0.625  0.625
Sm  0.000  0.000  0.000

Results
Space-group type: No. 216
Energy of formation: -0.323 eV/atom
Offset from the most stable computed form: 0.021 eV per atom
V: 20.41 Å³/atom
Fermi-level density of states: 0.3969 states/eV per atom